Density functional theory data (PBE-GGA) for CuSbW2 after structural relaxation.

Values from the calculation:
Size of the total moment   0.00 μB per formula unit
Formation energy (no corrections)   0.52 eV per atom
Uncorrected energy   -8.015 eV/atom
N(E_F)   2.86 states/eV/f.u.

Unit cell a=9.254 b=3.176 c=4.651 alpha=90.00 beta=100.34 gamma=90.00
Space group C2/m (No. 12)
Symmetry-distinct sites (fractional):
Cu: 0.000 0.000 0.000 [2 per cell]
Sb: 0.000 0.500 0.500 [2 per cell]
W: 0.246 0.500 0.223 [4 per cell]